Record 1
SCAN FeOsNF2, single point on PBEsol structure; crystal system = tetragonal; polymorph energy (0 for the lowest one) = 0.00 eV per formula unit; E = -21.296 eV/atom
1.0
3.719 0.000 0.000
0.000 4.205 0.000
0.000 0.000 4.205
N F Fe Os
1 2 1 1
Cartesian
1.860 0.000 0.000
0.000 0.000 2.103
0.000 2.103 0.000
1.860 2.103 2.103
0.000 0.000 0.000

Record 2
SCAN FePbN2F, single point on PBEsol structure; crystal system = tetragonal; E = -23.280 eV/atom
1.0
3.649 0.000 0.000
0.000 3.649 0.000
0.000 0.000 4.527
Pb N F Fe
1 2 1 1
Cartesian
1.824 1.824 2.264
1.824 0.000 0.000
0.000 1.824 0.000
0.000 0.000 2.264
0.000 0.000 0.000

Record 3
SCAN FePdNF2, single point on PBEsol structure; crystal system = tetragonal; E = -13.946 eV/atom
1.0
3.857 0.000 0.000
0.000 3.857 0.000
0.000 0.000 3.613
Fe N F Pd
1 1 2 1
Cartesian
0.000 0.000 0.000
0.000 0.000 1.806
0.000 1.928 0.000
1.928 0.000 0.000
1.928 1.928 1.806

Record 4
SCAN FeSN2F, single point on PBEsol structure; crystal system = tetragonal; E = -9.253 eV/atom
1.0
-2.185 2.799 0.959
-1.024 -1.827 2.998
2.758 1.514 1.865
F N S Fe
1 2 1 1
Cartesian
-1.093 1.399 0.480
1.379 0.757 0.932
-0.512 -0.914 1.499
-0.226 1.243 2.911
0.000 0.000 0.000

Record 5
SCAN FeS2NF, single point on PBEsol structure; crystal system = tetragonal; E = -9.551 eV/atom
1.0
3.318 0.000 0.000
0.000 4.494 0.000
0.000 0.000 4.494
S F Fe N
2 1 1 1
Cartesian
0.000 0.000 2.247
0.000 2.247 0.000
1.659 2.247 2.247
0.000 0.000 0.000
1.659 0.000 0.000

Record 6
SCAN FeSeNF2, single point on PBEsol structure; crystal system = tetragonal; E = -11.273 eV/atom
1.0
3.763 0.000 0.000
0.000 3.763 0.000
0.000 0.000 4.118
F Se Fe N
2 1 1 1
Cartesian
0.000 1.882 0.000
1.882 0.000 0.000
1.882 1.882 2.059
0.000 0.000 0.000
0.000 0.000 2.059

Magnetization (μB per cell)
3.2, 2.6, 2.8, 0.0, 4.1, 5.0